The following is a PBEsol calculation of an optimized crystal structure of K4ScZn, from the Alexandria database.

Cell: 7.3398 7.3398 7.3398 Å, 60.00 60.00 60.00°
Site moments in Bohr magnetons follow the coordinates.
Sites, in units of the cell vectors:
K  0.8758  0.3747  0.3747  0.01
K  0.3747  0.3747  0.8758  0.01
K  0.3747  0.3747  0.3747  0.01
K  0.3747  0.8758  0.3747  0.01
Zn  0.0000  0.0000  0.0000  0.02
Sc  0.7500  0.7500  0.7500  0.84

Properties
crystal system: cubic
ΔH_f (0 K): 738.0 meV/atom
Fermi-level density of states: 8.43 states/eV/cell
symmetry: F-43m (216)